1.
Pr4TlAu2 | PBE-GGA | relaxed

## Properties
The total magnetization is 0.0 μB per formula unit. For the total energy, the calculation gives -4.401 eV per atom.

Unit cell a=10.327 b=10.327 c=10.327 alpha=28.70 beta=28.70 gamma=28.70
Fractional positions:
Pr 0.119 0.119 0.119
Pr 0.294 0.294 0.294
Pr 0.706 0.706 0.706
Pr 0.881 0.881 0.881
Tl 0.500 0.500 0.500
Au 0.397 0.397 0.397
Au 0.603 0.603 0.603


2.
Pr5TlAu4 | PBE-GGA | relaxed

## Properties
The total magnetization is 0.0 μB per formula unit. For the total energy, the calculation gives -4.611 eV per atom.

Unit cell a=3.750 b=3.750 c=19.246 alpha=90.00 beta=90.00 gamma=90.00
Fractional positions:
Pr 0.000 0.000 0.000
Pr 0.000 0.000 0.195
Pr 0.000 0.000 0.388
Pr 0.000 0.000 0.612
Pr 0.000 0.000 0.805
Tl 0.500 0.500 0.500
Au 0.500 0.500 0.097
Au 0.500 0.500 0.292
Au 0.500 0.500 0.708
Au 0.500 0.500 0.903


3.
Pr4Tl2Au | PBE-GGA | relaxed

## Properties
The total magnetization is 0.0 μB per formula unit. For the total energy, the calculation gives -4.172 eV per atom.

Unit cell a=9.360 b=9.360 c=6.821 alpha=108.89 beta=108.89 gamma=23.96
Fractional positions:
Pr 0.091 0.091 0.450
Pr 0.373 0.373 0.031
Pr 0.627 0.627 0.969
Pr 0.909 0.909 0.550
Tl 0.257 0.257 0.313
Tl 0.743 0.743 0.687
Au 0.000 0.000 0.000


4.
PrTlAu | PBE-GGA | relaxed

## Properties
The total magnetization is 0.0 μB per formula unit. For the total energy, the calculation gives -4.003 eV per atom.

Unit cell a=4.961 b=4.961 c=3.646 alpha=90.00 beta=90.00 gamma=120.00
Fractional positions:
Pr 0.000 0.000 0.000
Tl 0.333 0.667 0.500
Au 0.667 0.333 0.500


5.
Pr7Tl2Au2 | PBE-GGA | relaxed

## Properties
The total magnetization is 0.0 μB per formula unit. For the total energy, the calculation gives -4.312 eV per atom.

Unit cell a=7.225 b=7.225 c=7.457 alpha=90.00 beta=90.00 gamma=107.32
Fractional positions:
Pr 0.000 0.000 0.000
Pr 0.000 0.500 0.266
Pr 0.000 0.500 0.734
Pr 0.500 0.000 0.266
Pr 0.500 0.000 0.734
Pr 0.500 0.500 0.252
Pr 0.500 0.500 0.748
Tl 0.173 0.173 0.500
Tl 0.827 0.827 0.500
Au 0.287 0.713 0.000
Au 0.713 0.287 0.000


6.
Pr4TlAu3 | PBE-GGA | relaxed

## Properties
The polymorph energy (0 for the lowest one) comes out at 0.000 eV/atom. The total magnetization is 0.0 μB per formula unit.

Unit cell a=3.959 b=4.893 c=11.643 alpha=90.00 beta=90.00 gamma=90.00
Fractional positions:
Pr 0.000 0.000 0.000
Pr 0.000 0.500 0.265
Pr 0.500 0.000 0.480
Pr 0.500 0.500 0.776
Tl 0.000 0.000 0.712
Au 0.000 0.500 0.537
Au 0.500 0.000 0.213
Au 0.500 0.500 0.048


In Å³/atom, the calculated volume values for the records above are, in order, 32.09, 27.06, 32.71, 25.90, 33.78, 28.19.